Computed, not measured: an optimized crystal structure of LiFeAu4 at the PBE level of DFT.

The structure in CIF format:
```
data_LiFeAu4
_cell_length_a 7.7233
_cell_length_b 7.7233
_cell_length_c 7.7233
_cell_angle_alpha 90.00
_cell_angle_beta 90.00
_cell_angle_gamma 90.00
_space_group_name_H-M_alt 'F -4 3 m'
_space_group_IT_number 216
_space_group_name_Hall 'F -4 2 3'
loop_
_atom_site_label
_atom_site_type_symbol
_atom_site_fract_x
_atom_site_fract_y
_atom_site_fract_z
_atom_site_occupancy
Li1 Li 0.0000 0.0000 0.0000 1
Fe1 Fe 0.2500 0.2500 0.2500 1
Au1 Au 0.1250 0.1250 0.6250 1
```

Calculated values
energy relative to the elements = 0.139 eV/atom
density of states at the Fermi level = 0.72 states/eV per atom